No. 1
A plane-wave DFT calculation with GGA-PBE was carried out for Ge2Br3Cl after structural relaxation.

The calculation puts the relative energy among the computed polymorphs at 62 meV per atom. The symmetry is No. 12. The calculation puts the density of states at the Fermi level at 0.00 states/eV/atom. The calculation puts the mass density at 2.9 g/cm3. For the formation energy from raw total energies, the calculation gives -0.5496 eV/atom. The total magnetization comes out at 0.00 μB/atom.

Cell lengths 3.9656, 8.5352, 14.5283 Å; angles 95.77, 97.84, 90.00 degrees
With the nearest neighbours (Å) after each atom.
Positions (direct):
Ge: 0.3128 0.6912 0.6255  1 Cl 2.24
Ge: 0.6872 0.3088 0.3745  1 Cl 2.24
Ge: 0.9476 0.8195 0.8952  3 Br 2.45-2.70
Ge: 0.0524 0.1805 0.1048  3 Br 2.45-2.70
Br: 0.2468 0.2661 0.4937  2 Ge 2.67
Br: 0.0323 0.8126 0.0647  1 Ge 2.45
Br: 0.4311 0.6057 0.8621  2 Ge 2.70
Br: 0.7532 0.7339 0.5063  2 Ge 2.67
Br: 0.5689 0.3943 0.1379  2 Ge 2.70
Br: 0.9677 0.1874 0.9353  1 Ge 2.45
Cl: 0.3483 0.9371 0.6966  1 Ge 2.24
Cl: 0.6517 0.0629 0.3034  1 Ge 2.24

No. 2
A plane-wave DFT calculation with GGA-PBE was carried out for Ge2Br2Cl after structural relaxation.

The symmetry is No. 127. The calculation puts the density of states at the Fermi level at 0.31 states/eV/atom. The calculation puts the mass density at 4.1 g/cm3. For the formation energy from raw total energies, the calculation gives -0.2649 eV/atom. The total magnetization comes out at 0.00 μB/atom.

Cell lengths 7.6938, 7.6938, 4.6486 Å; angles 90.00, 90.00, 90.00 degrees
With the nearest neighbours (Å) after each atom.
Positions (direct):
Ge: 0.2886 0.7886 0.0000  2 Br 2.69, 2 Cl 2.75
Ge: 0.7886 0.7114 0.0000  2 Br 2.69, 2 Cl 2.75
Ge: 0.7114 0.2114 0.0000  2 Br 2.69, 2 Cl 2.75
Ge: 0.2114 0.2886 0.0000  2 Br 2.69, 2 Cl 2.75
Br: 0.1649 0.6649 0.5000  2 Ge 2.69
Br: 0.6649 0.8351 0.5000  2 Ge 2.69
Br: 0.8351 0.3351 0.5000  2 Ge 2.69
Br: 0.3351 0.1649 0.5000  2 Ge 2.69
Cl: 0.0000 0.0000 0.0000  4 Ge 2.75
Cl: 0.5000 0.5000 0.0000  4 Ge 2.75

No. 3
A plane-wave DFT calculation with GGA-PBE was carried out for GeBrCl3 after structural relaxation.

The calculation puts the relative energy among the computed polymorphs at 0 meV per atom. The symmetry is No. 11. The calculation puts the density of states at the Fermi level at 0.00 states/eV/atom. The calculation puts the mass density at 2.1 g/cm3. For the formation energy from raw total energies, the calculation gives -0.8435 eV/atom. The total magnetization comes out at 0.00 μB/atom.

Cell lengths 6.1792, 8.1874, 8.2714 Å; angles 90.00, 90.00, 90.25 degrees
With the nearest neighbours (Å) after each atom.
Positions (direct):
Ge: 0.7496 0.2524 0.7500  3 Cl 2.14, 1 Br 2.29
Ge: 0.2504 0.7476 0.2500  3 Cl 2.14, 1 Br 2.29
Br: 0.5459 0.4861 0.7500  1 Ge 2.29
Br: 0.4541 0.5139 0.2500  1 Ge 2.29
Cl: 0.9499 0.2466 0.9609  1 Ge 2.14
Cl: 0.0501 0.7534 0.0391  1 Ge 2.14
Cl: 0.9499 0.2466 0.5391  1 Ge 2.14
Cl: 0.0501 0.7534 0.4609  1 Ge 2.14
Cl: 0.5437 0.0417 0.7500  1 Ge 2.14
Cl: 0.4563 0.9583 0.2500  1 Ge 2.14

No. 4
A plane-wave DFT calculation with GGA-PBE was carried out for GeBrCl3 after structural relaxation.

The calculation puts the relative energy among the computed polymorphs at 659 meV per atom. The symmetry is No. 221. The calculation puts the density of states at the Fermi level at 1.75 states/eV/atom. The calculation puts the mass density at 3.4 g/cm3. For the formation energy from raw total energies, the calculation gives -0.1850 eV/atom. The total magnetization comes out at 0.26 μB/atom.

Cell lengths 5.0377, 5.0377, 5.0377 Å; angles 90.00, 90.00, 90.00 degrees
With the nearest neighbours (Å) after each atom.
Positions (direct):
Ge: 0.0000 0.0000 0.0000  6 Cl 2.52
Br: 0.5000 0.5000 0.5000  12 Cl 3.56
Cl: 0.0000 0.5000 0.0000  2 Ge 2.52
Cl: 0.0000 0.0000 0.5000  2 Ge 2.52
Cl: 0.5000 0.0000 0.0000  2 Ge 2.52

No. 5
A plane-wave DFT calculation with GGA-PBE was carried out for GeBrCl2 after structural relaxation.

The calculation puts the relative energy among the computed polymorphs at 486 meV per atom. The symmetry is No. 225. The calculation puts the density of states at the Fermi level at 1.01 states/eV/atom. The calculation puts the mass density at 4.1 g/cm3. For the formation energy from raw total energies, the calculation gives 0.0848 eV/atom. The total magnetization comes out at 0.25 μB/atom.

Cell lengths 5.0545, 5.0545, 5.0545 Å; angles 60.00, 60.00, 60.00 degrees
With the nearest neighbours (Å) after each atom.
Positions (direct):
Ge: 0.0000 0.0000 0.0000  8 Cl 3.10
Br: 0.5000 0.5000 0.5000  8 Cl 3.10
Cl: 0.2500 0.2500 0.2500  4 Ge 3.10, 4 Br 3.10
Cl: 0.7500 0.7500 0.7500  4 Br 3.10, 4 Ge 3.10

No. 6
A plane-wave DFT calculation with GGA-PBE was carried out for Ge4Br5Cl2 after structural relaxation.

The symmetry is No. 12. The calculation puts the density of states at the Fermi level at 0.25 states/eV/atom. The calculation puts the mass density at 3.3 g/cm3. For the formation energy from raw total energies, the calculation gives -0.4151 eV/atom. The total magnetization comes out at 0.00 μB/atom.

Cell lengths 7.7657, 7.7675, 8.3403 Å; angles 78.23, 62.25, 60.01 degrees
With the nearest neighbours (Å) after each atom.
Positions (direct):
Ge: 0.3872 0.9809 0.2446  1 Cl 2.21
Ge: 0.6128 0.0191 0.7554  1 Cl 2.21
Ge: 0.7853 0.5720 0.8574  5 Br 2.66-2.91
Ge: 0.2147 0.4280 0.1426  5 Br 2.66-2.91
Br: 0.1792 0.2553 0.8895  3 Ge 2.67-2.91
Br: 0.8208 0.7447 0.1105  3 Ge 2.67-2.91
Br: 0.0000 0.5000 0.5000  2 Ge 2.66
Br: 0.6760 0.2553 0.8895  3 Ge 2.67-2.91
Br: 0.3240 0.7447 0.1105  3 Ge 2.67-2.91
Cl: 0.2904 0.8898 0.5293  1 Ge 2.21
Cl: 0.7096 0.1102 0.4707  1 Ge 2.21

No. 7
A plane-wave DFT calculation with GGA-PBE was carried out for GeBrCl3 after structural relaxation.

The calculation puts the relative energy among the computed polymorphs at 0 meV per atom. The symmetry is No. 14. The calculation puts the density of states at the Fermi level at 0.00 states/eV/atom. The calculation puts the mass density at 2.0 g/cm3. For the formation energy from raw total energies, the calculation gives -0.8438 eV/atom. The total magnetization comes out at 0.00 μB/atom.

Cell lengths 6.8808, 11.2230, 11.3592 Å; angles 82.16, 90.00, 90.00 degrees
With the nearest neighbours (Å) after each atom.
Positions (direct):
Ge: 0.3410 0.2489 0.9679  3 Cl 2.14, 1 Br 2.29
Ge: 0.6590 0.7511 0.0321  3 Cl 2.14, 1 Br 2.29
Ge: 0.8410 0.2511 0.5321  3 Cl 2.14, 1 Br 2.29
Ge: 0.1590 0.7489 0.4679  3 Cl 2.14, 1 Br 2.29
Br: 0.8319 0.7629 0.4997  1 Ge 2.29
Br: 0.1681 0.2371 0.5003  1 Ge 2.29
Br: 0.3319 0.7371 0.0003  1 Ge 2.29
Br: 0.6681 0.2629 0.9997  1 Ge 2.29
Cl: 0.1897 0.2265 0.1346  1 Ge 2.14
Cl: 0.8103 0.7735 0.8654  1 Ge 2.14
Cl: 0.6897 0.2735 0.3654  1 Ge 2.14
Cl: 0.3103 0.7265 0.6346  1 Ge 2.14
Cl: 0.2236 0.5986 0.3773  1 Ge 2.14
Cl: 0.7764 0.4014 0.6227  1 Ge 2.14
Cl: 0.7236 0.9014 0.1227  1 Ge 2.14
Cl: 0.2764 0.0986 0.8773  1 Ge 2.14
Cl: 0.7374 0.0907 0.6369  1 Ge 2.14
Cl: 0.2626 0.9093 0.3631  1 Ge 2.14
Cl: 0.2374 0.4093 0.8631  1 Ge 2.14
Cl: 0.7626 0.5907 0.1369  1 Ge 2.14

No. 8
A plane-wave DFT calculation with GGA-PBE was carried out for Ge3BrCl after structural relaxation.

The calculation puts the relative energy among the computed polymorphs at 0 meV per atom. The symmetry is No. 221. The calculation puts the density of states at the Fermi level at 1.42 states/eV/atom. The calculation puts the mass density at 4.0 g/cm3. For the formation energy from raw total energies, the calculation gives 0.7783 eV/atom. The total magnetization comes out at 0.00 μB/atom.

Cell lengths 5.1768, 5.1768, 5.1768 Å; angles 90.00, 90.00, 90.00 degrees
With the nearest neighbours (Å) after each atom.
Positions (direct):
Ge: 0.0000 0.5000 0.0000  2 Cl 2.59
Ge: 0.0000 0.0000 0.5000  2 Cl 2.59
Ge: 0.5000 0.0000 0.0000  2 Cl 2.59
Br: 0.5000 0.5000 0.5000  12 Ge 3.66
Cl: 0.0000 0.0000 0.0000  6 Ge 2.59

No. 9
A plane-wave DFT calculation with GGA-PBE was carried out for Ge2BrCl3 after structural relaxation.

The calculation puts the relative energy among the computed polymorphs at 0 meV per atom. The symmetry is No. 12. The calculation puts the density of states at the Fermi level at 0.00 states/eV/atom. The calculation puts the mass density at 2.8 g/cm3. For the formation energy from raw total energies, the calculation gives -0.7231 eV/atom. The total magnetization comes out at 0.00 μB/atom.

Cell lengths 3.9384, 9.7004, 10.9052 Å; angles 82.28, 79.60, 78.29 degrees
With the nearest neighbours (Å) after each atom.
Positions (direct):
Ge: 0.8622 0.4030 0.8726  1 Cl 2.39
Ge: 0.1378 0.5970 0.1274  1 Cl 2.39
Ge: 0.6359 0.1122 0.6161  3 Cl 2.38-2.58
Ge: 0.3641 0.8878 0.3839  3 Cl 2.38-2.58
Br: 0.4190 0.4596 0.7024  2 Ge 2.70
Br: 0.5810 0.5404 0.2976  2 Ge 2.70
Cl: 0.0751 0.0785 0.7714  2 Ge 2.58
Cl: 0.9249 0.9215 0.2286  2 Ge 2.58
Cl: 0.7166 0.6412 0.9256  1 Ge 2.39
Cl: 0.2834 0.3588 0.0744  1 Ge 2.39
Cl: 0.7725 0.8667 0.5883  1 Ge 2.38
Cl: 0.2275 0.1333 0.4117  1 Ge 2.38

No. 10
A plane-wave DFT calculation with GGA-PBE was carried out for Hg2GeBrCl after structural relaxation.

The symmetry is No. 123. The calculation puts the density of states at the Fermi level at 0.82 states/eV/atom. The calculation puts the mass density at 5.3 g/cm3. For the formation energy from raw total energies, the calculation gives 0.2965 eV/atom. The total magnetization comes out at 0.00 μB/atom.

Cell lengths 6.1067, 4.9908, 6.1067 Å; angles 90.00, 90.00, 90.00 degrees
With the nearest neighbours (Å) after each atom.
Positions (direct):
Ge: 0.0000 0.5000 0.0000  2 Cl 2.50
Hg: 0.0000 0.0000 0.5000  2 Cl 3.05
Hg: 0.5000 0.0000 0.0000  2 Cl 3.05
Br: 0.5000 0.5000 0.5000  8 Hg 3.94, 4 Ge 4.32
Cl: 0.0000 0.0000 0.0000  2 Ge 2.50

No. 11
A plane-wave DFT calculation with GGA-PBE was carried out for Ge2IBrCl after structural relaxation.

The symmetry is No. 123. The calculation puts the density of states at the Fermi level at 0.87 states/eV/atom. The calculation puts the mass density at 3.6 g/cm3. For the formation energy from raw total energies, the calculation gives 0.6239 eV/atom. The total magnetization comes out at 0.00 μB/atom.

Cell lengths 5.6525, 5.5515, 5.6525 Å; angles 90.00, 90.00, 90.00 degrees
With the nearest neighbours (Å) after each atom.
Positions (direct):
I: 0.0000 0.0000 0.0000  2 Cl 2.78, 4 Ge 2.83
Ge: 0.0000 0.0000 0.5000  2 I 2.83
Ge: 0.5000 0.0000 0.0000  2 I 2.83
Br: 0.5000 0.5000 0.5000  8 Ge 3.96, 4 Cl 4.00
Cl: 0.0000 0.5000 0.0000  2 I 2.78

No. 12
A plane-wave DFT calculation with GGA-PBE was carried out for La8Ge3Br3Cl after structural relaxation.

The symmetry is No. 166. The calculation puts the density of states at the Fermi level at 0.69 states/eV/atom. The calculation puts the mass density at 5.6 g/cm3. For the formation energy from raw total energies, the calculation gives -1.1583 eV/atom. The total magnetization comes out at 0.00 μB/atom.

Cell lengths 8.7179, 8.7188, 8.7682 Å; angles 119.82, 90.00, 120.00 degrees
With the nearest neighbours (Å) after each atom.
Positions (direct):
La: 0.2577 0.5153 0.2728  3 Ge 3.00, 3 Br 3.19
La: 0.7423 0.4847 0.7272  3 Ge 3.00, 3 Br 3.19
La: 0.7510 0.5019 0.2680  2 Ge 2.99, 1 Cl 3.08, 2 Br 3.20
La: 0.2490 0.4981 0.7320  2 Ge 2.99, 1 Cl 3.08, 2 Br 3.20
La: 0.7515 0.0174 0.2680  2 Ge 2.99, 1 Cl 3.08, 2 Br 3.20
La: 0.2485 0.9826 0.7320  2 Ge 2.99, 1 Cl 3.08, 2 Br 3.20
La: 0.2658 0.0174 0.2680  2 Ge 2.99, 1 Cl 3.08, 2 Br 3.20
La: 0.7342 0.9826 0.7320  2 Ge 2.99, 1 Cl 3.08, 2 Br 3.20
Ge: 0.5000 0.0000 0.5000  6 La 2.99-3.00
Ge: 0.5000 0.5000 0.5000  6 La 2.99-3.00
Ge: 0.0000 0.5000 0.5000  6 La 2.99-3.00
Br: 0.0000 0.0000 0.0000  6 La 3.19-3.20
Br: 0.0000 0.5000 0.0000  6 La 3.19-3.20
Br: 0.5000 0.5000 0.0000  6 La 3.19-3.20
Cl: 0.0000 0.0000 0.5000  6 La 3.08